1.
This record from Alexandria via LeMat-Bulk describes a relaxed structure of RhC. The functional is PBE.

Cell: 4.121 4.121 4.121 Å, 90.00 90.00 90.00°
Fractional positions:
Rh1 0.000 0.000 0.500
Rh2 0.000 0.500 0.000
Rh3 0.500 0.000 0.000
C1 0.000 0.500 0.500
C2 0.500 0.000 0.500
C3 0.500 0.500 0.000

Computed properties:
The calculation puts the energy of formation from the pure elements at 995 meV per atom. Its space-group type is Pm-3m (221). The value obtained for the density is 8.2 g/cm3. For the size of the total moment, the calculation gives 0.00 μB/f.u. The density of states at the Fermi level comes out at 1.33 states/eV/f.u.

2.
This record from Alexandria via LeMat-Bulk describes a relaxed structure of Rh5C3. The functional is PBE.

Cell: 8.336 8.336 4.760 Å, 90.01 90.01 143.65°
Fractional positions:
Rh1 0.032 0.625 0.752
Rh2 0.204 0.429 0.761
Rh3 0.211 0.211 0.324
Rh4 0.375 0.968 0.248
Rh5 0.429 0.204 0.761
Rh6 0.571 0.796 0.239
Rh7 0.625 0.032 0.752
Rh8 0.789 0.789 0.676
Rh9 0.796 0.571 0.239
Rh10 0.968 0.375 0.248
C1 0.114 0.886 0.500
C2 0.294 0.706 0.000
C3 0.416 0.416 0.722
C4 0.584 0.584 0.278
C5 0.706 0.294 0.000
C6 0.886 0.114 0.500

Computed properties:
The calculation puts the energy of formation from the pure elements at 401 meV per atom. Its space-group type is C2/m (12). The value obtained for the density is 9.3 g/cm3. For the size of the total moment, the calculation gives 0.00 μB/f.u. The density of states at the Fermi level comes out at 3.11 states/eV/f.u.

3.
This record from Alexandria via LeMat-Bulk describes a relaxed structure of RhC5. The functional is PBE.

Cell: 3.681 3.681 5.566 Å, 91.59 91.59 42.79°
Fractional positions:
Rh1 0.000 0.000 0.000
C1 0.264 0.264 0.840
C2 0.396 0.396 0.678
C3 0.415 0.415 0.416
C4 0.601 0.601 0.260
C5 0.814 0.814 0.311

Computed properties:
The calculation puts the energy of formation from the pure elements at 971 meV per atom. Its space-group type is Cm (8). The value obtained for the density is 5.3 g/cm3. For the size of the total moment, the calculation gives 0.00 μB/f.u. The density of states at the Fermi level comes out at 1.54 states/eV/f.u.

4.
This record from Alexandria via LeMat-Bulk describes a relaxed structure of RhC. The functional is PBE.

Cell: 9.177 3.209 5.578 Å, 90.00 90.00 90.00°
Fractional positions:
Rh1 0.000 0.056 0.000
Rh2 0.216 0.593 0.761
Rh3 0.284 0.407 0.261
Rh4 0.500 0.944 0.500
Rh5 0.716 0.407 0.261
Rh6 0.784 0.593 0.761
C1 0.000 0.561 0.775
C2 0.200 0.909 0.118
C3 0.300 0.091 0.618
C4 0.500 0.439 0.275
C5 0.700 0.091 0.618
C6 0.800 0.909 0.118

Computed properties:
The calculation puts the energy of formation from the pure elements at 812 meV per atom. Its space-group type is Pmn2_1 (31). The value obtained for the density is 7.0 g/cm3. For the size of the total moment, the calculation gives 0.00 μB/f.u. The density of states at the Fermi level comes out at 0.52 states/eV/f.u.

5.
This record from Alexandria via LeMat-Bulk describes a relaxed structure of RhC5. The functional is PBE.

Cell: 3.416 3.416 7.493 Å, 90.00 90.00 120.00°
Fractional positions:
Rh1 0.000 0.000 0.000
C1 0.000 0.500 0.500
C2 0.333 0.667 0.000
C3 0.500 0.000 0.500
C4 0.500 0.500 0.500
C5 0.667 0.333 0.000

Computed properties:
The calculation puts the energy of formation from the pure elements at 2716 meV per atom. Its space-group type is P6/mmm (191). The value obtained for the density is 3.6 g/cm3. For the size of the total moment, the calculation gives 0.39 μB/f.u. The density of states at the Fermi level comes out at 3.79 states/eV/f.u.

6.
This record from Alexandria via LeMat-Bulk describes a relaxed structure of RhC. The functional is PBE.

Cell: 3.274 3.274 3.274 Å, 52.51 52.51 52.51°
Fractional positions:
Rh1 0.000 0.000 0.000
C1 0.500 0.500 0.500

Computed properties:
The calculation puts the energy of formation from the pure elements at 1074 meV per atom. Its space-group type is R-3m (166). The value obtained for the density is 9.3 g/cm3. For the size of the total moment, the calculation gives 0.00 μB/f.u. The density of states at the Fermi level comes out at 1.34 states/eV/f.u.